The following is a DFT calculation (PBE) of a geometry-optimized Sc2PRh structure.

The space group is P4mm (No. 99) and the conventional cell measures 3.067, 3.067 and 7.593 Å, with angles of 90.00, 90.00 and 90.00 degrees. The distinct sites, in fractional coordinates, are Sc at (0.000, 0.000, 0.000), Sc at (0.500, 0.500, 0.347), P at (0.000, 0.000, 0.582) and Rh at (0.500, 0.500, 0.743).

For the raw total energy, the calculation gives -6.887 eV/atom. The value obtained for the formation energy is -531 meV per atom. Its volume is 17.85 Å³/atom. The calculation puts the magnetic moment at 0.0 μB/f.u.


The following is a DFT calculation (PBE) of a geometry-optimized CaMg2NbHg structure.

The space group is P4/mmm (No. 123) and the conventional cell measures 5.355, 5.355 and 5.359 Å, with angles of 90.00, 90.00 and 90.00 degrees. The distinct sites, in fractional coordinates, are Ca at (0.000, 0.000, 0.000), Mg at (0.000, 0.500, 0.500), Nb at (0.500, 0.500, 0.500) and Hg at (0.500, 0.500, 0.000).

For the raw total energy, the calculation gives -2.496 eV/atom. The value obtained for the formation energy is 616 meV per atom. Its volume is 30.73 Å³/atom. The calculation puts the magnetic moment at 2.0 μB/f.u.


The following is a DFT calculation (PBE) of a geometry-optimized LiI3O structure.

The space group is Pm-3m (No. 221) and the conventional cell measures 5.302, 5.302 and 5.302 Å, with angles of 90.00, 90.00 and 90.00 degrees. The distinct sites, in fractional coordinates, are Li at (0.000, 0.000, 0.000), I at (0.000, 0.000, 0.500) and O at (0.500, 0.500, 0.500).

The calculation puts the excess energy over the best structure of this formula in the dataset at 592.3 meV per atom. For the raw total energy, the calculation gives -1.736 eV/atom. Its volume is 29.81 Å³/atom. The calculation puts the magnetic moment at 0.0 μB/f.u.